No. 1
Below is an optimized crystal structure of NaSr3Al, with properties calculated at the PBE level.

Values from the calculation:
ΔE_f, meV/atom: 85
Calculated total energy, eV per formula unit: -9.7

```
data_NaSr3Al
_space_group_name_H-M_alt 'P m -3 m'
_space_group_IT_number 221
_space_group_name_Hall '-P 4 2 3'
_cell_length_a 6.377
_cell_length_b 6.377
_cell_length_c 6.377
_cell_angle_alpha 90.00
_cell_angle_beta 90.00
_cell_angle_gamma 90.00
loop_
_atom_site_label
_atom_site_type_symbol
_atom_site_fract_x
_atom_site_fract_y
_atom_site_fract_z
Na1 Na 0.000 0.000 0.000
Sr1 Sr 0.000 0.500 0.500
Al1 Al 0.500 0.500 0.500
```

---

No. 2
Below is an optimized crystal structure of Dy7YEr12, with properties calculated at the PBE level.

Values from the calculation:
ΔE_f, meV/atom: 728
Calculated total energy, eV per formula unit: -78.9

```
data_Dy7YEr12
_space_group_name_H-M_alt 'I m -3 m'
_space_group_IT_number 229
_space_group_name_Hall '-I 4 2 3'
_cell_length_a 11.167
_cell_length_b 11.167
_cell_length_c 11.167
_cell_angle_alpha 90.00
_cell_angle_beta 90.00
_cell_angle_gamma 90.00
loop_
_atom_site_label
_atom_site_type_symbol
_atom_site_fract_x
_atom_site_fract_y
_atom_site_fract_z
Dy1 Dy 0.000 0.000 0.500
Dy2 Dy 0.250 0.250 0.250
Y1 Y 0.000 0.000 0.000
Er1 Er 0.000 0.251 0.251
```

---

No. 3
Below is an optimized crystal structure of InPbCl2, with properties calculated at the PBE level.

Values from the calculation:
Calculated total energy, eV per formula unit: -12.7
Energy relative to the elements, uncorrected, meV per atom: -640

```
data_InPbCl2
_space_group_name_H-M_alt 'P m m 2'
_space_group_IT_number 25
_cell_length_a 3.504
_cell_length_b 5.526
_cell_length_c 6.146
_cell_angle_alpha 90.00
_cell_angle_beta 90.00
_cell_angle_gamma 90.00
loop_
_space_group_symop_operation_xyz
'x,y,z'
'-x,-y,z'
'-x,y,z'
'x,-y,z'
loop_
_atom_site_label
_atom_site_type_symbol
_atom_site_fract_x
_atom_site_fract_y
_atom_site_fract_z
In1 In 0.000 0.000 0.000
Pb1 Pb 0.500 0.500 0.487
Cl1 Cl 0.000 0.000 0.522
Cl2 Cl 0.500 0.500 0.948
```

---

No. 4
Below is an optimized crystal structure of TaCrAs2, with properties calculated at the PBE level.

Values from the calculation:
ΔE_f, meV/atom: 109
Calculated total energy, eV per formula unit: -30.3

```
data_TaCrAs2
_space_group_name_H-M_alt 'I -4 m 2'
_space_group_IT_number 119
_space_group_name_Hall 'I -4 -2'
_cell_length_a 3.739
_cell_length_b 3.739
_cell_length_c 9.421
_cell_angle_alpha 90.00
_cell_angle_beta 90.00
_cell_angle_gamma 90.00
loop_
_atom_site_label
_atom_site_type_symbol
_atom_site_fract_x
_atom_site_fract_y
_atom_site_fract_z
Ta1 Ta 0.000 0.000 0.000
Cr1 Cr 0.000 0.500 0.250
As1 As 0.000 0.000 0.500
As2 As 0.000 0.500 0.750
```

---

Distance to the lowest polymorph of the same formula: 48.2, 420.4, 68.8, 239.3 (meV per atom)
Magnetization: 0.00, 0.02, 0.00, 3.19 (μB per formula unit)